Ba2Na3InBi4 | GGA-PBE | optimized geometry

Lattice parameters (Å, degrees): 5.2404 5.2404 12.7134 90.00 90.00 90.00
Closest atoms and distances in Å follow each position.
Space group P-4m2 (No. 115)
Symmetry-distinct sites (fractional):
Ba1 0.0000 0.5000 0.2321 (multiplicity 2)  6 Na 3.93-4.30, 8 Bi 3.95-4.07, 2 In 4.30
Na1 0.0000 0.5000 0.8710 (multiplicity 2)  5 Bi 2.99-3.09
Na2 0.5000 0.5000 0.5000 (multiplicity 1)  4 Bi 3.14
In1 0.0000 0.0000 0.5000 (multiplicity 1)  4 Bi 3.14
Bi1 0.0000 0.0000 0.0000 (multiplicity 1)  4 Na 3.09
Bi2 0.0000 0.5000 0.6356 (multiplicity 2)  3 Na 2.99-3.14, 2 In 3.14
Bi3 0.5000 0.5000 0.0000 (multiplicity 1)  4 Na 3.09

Output
As for the crystal system: tetragonal. The calculation puts the formation energy at -4.9 eV/f.u. The density of states at the Fermi level is 0.191 states/eV per atom. The total magnetization is 0.00 μB per atom.